No. 1
Material: CaGaSn
Method: DFT, GGA-PBE
State: optimized geometry

Cell lengths 4.8726, 4.8726, 4.8726 Å; angles 60.00, 60.00, 60.00 degrees
Positions (direct):
Ga  0.2500  0.2500  0.2500
Ca  0.0000  0.0000  0.0000
Sn  0.5000  0.5000  0.5000

Output
Calculated volume in Å³ per cell: 81.8
ΔH_f (0 K) in meV/atom: -340.0
Total magnetization in Bohr magnetons per cell: 0.0

---

No. 2
Material: TlWBr
Method: DFT, GGA-PBE
State: optimized geometry

Cell lengths 4.7480, 4.7480, 4.7480 Å; angles 60.00, 60.00, 60.00 degrees
Last column: magnetic moment on the atom in μB.
Positions (direct):
W  0.2500  0.2500  0.2500  1.79
Br  0.0000  0.0000  0.0000  0.02
Tl  0.5000  0.5000  0.5000  0.05

Output
Energy above the lowest structure with this stoichiometry in eV/atom: 0.820
Calculated volume in Å³ per cell: 75.7
Total magnetization in Bohr magnetons per cell: 2.4
Formation energy from raw total energies in eV per formula unit: 4.4

---

No. 3
Material: MgTeRu4
Method: DFT, GGA-PBE
State: optimized geometry

Cell lengths 5.2298, 5.2298, 5.2298 Å; angles 60.00, 60.00, 60.00 degrees
Last column: magnetic moment on the atom in μB.
Positions (direct):
Ru  0.3752  0.3752  0.3752  0.12
Ru  0.8743  0.3752  0.3752  0.12
Ru  0.3752  0.8743  0.3752  0.12
Ru  0.3752  0.3752  0.8743  0.12
Te  0.7500  0.7500  0.7500  -0.01
Mg  0.0000  0.0000  0.0000  0.00

Output
Calculated volume in Å³ per cell: 101.1
Total magnetization in Bohr magnetons per cell: 0.5
Formation energy from raw total energies in eV per formula unit: 2.5